VASP calculation (PBE) on a relaxed Al2SiAg crystal.

The space group is Pmmm (No. 47) and the conventional cell measures 2.729, 4.881 and 5.139 Å, with angles of 90.00, 90.00 and 90.00 degrees. Symmetry generates all atoms from Al at (0.000, 0.000, 0.000), Al at (0.500, 0.000, 0.500), Si at (0.000, 0.500, 0.500) and Ag at (0.500, 0.500, 0.000).

The raw total energy comes out at -14.969 eV per cell. The calculated density is 4608 kg/m3. As for the raw formation energy: 0.198 eV/atom.

VASP calculation (PBE) on a relaxed AlSi2Ag2 crystal.

The space group is P4/mbm (No. 127) and the conventional cell measures 8.150, 8.150 and 2.706 Å, with angles of 90.00, 90.00 and 90.00 degrees. Symmetry generates all atoms from Al at (0.000, 0.000, 0.000), Si at (0.145, 0.355, 0.000) and Ag at (0.153, 0.653, 0.500).

The raw total energy comes out at -36.717 eV per cell. The calculated density is 5522 kg/m3. As for the raw formation energy: 0.387 eV/atom. The energy above the most stable polymorph in this dataset is 0.083 eV per atom.

VASP calculation (PBE) on a relaxed AlSi2Ag crystal.

The space group is Pm (No. 6) and the conventional cell measures 2.684, 3.573 and 7.097 Å, with angles of 90.00, 100.71 and 90.00 degrees. Symmetry generates all atoms from Al at (0.000, 0.000, 0.000), Si at (0.616, 0.500, 0.231), Si at (0.741, 0.000, 0.479) and Ag at (0.370, 0.500, 0.738).

The raw total energy comes out at -16.390 eV per cell. The calculated density is 4743 kg/m3. As for the raw formation energy: 0.262 eV/atom.

VASP calculation (PBE) on a relaxed AlSiAg crystal.

The space group is P1 (No. 1) and the conventional cell measures 3.499, 5.270 and 6.384 Å, with angles of 75.20, 74.19 and 71.20 degrees. Symmetry generates all atoms from Al at (0.000, 0.000, 0.000), Al at (0.448, 0.751, 0.351), Si at (0.195, 0.462, 0.140), Si at (0.710, 0.210, 0.355), Ag at (0.445, 0.364, 0.745) and Ag at (0.743, 0.818, 0.702).

The raw total energy comes out at -23.179 eV per cell. The calculated density is 5134 kg/m3. As for the raw formation energy: 0.143 eV/atom.

Repeat the third record exactly.
VASP calculation (PBE) on a relaxed AlSi2Ag crystal.

The space group is Pm (No. 6) and the conventional cell measures 2.684, 3.573 and 7.097 Å, with angles of 90.00, 100.71 and 90.00 degrees. Symmetry generates all atoms from Al at (0.000, 0.000, 0.000), Si at (0.616, 0.500, 0.231), Si at (0.741, 0.000, 0.479) and Ag at (0.370, 0.500, 0.738).

The raw total energy comes out at -16.390 eV per cell. The calculated density is 4743 kg/m3. As for the raw formation energy: 0.262 eV/atom.